# 1
The following is a DFT calculation (PBE) of a relaxed AcPrSm2Er5 crystal.

a b c (Å): 8.801 8.801 9.994
angles (deg): 116.12 116.12 90.00
Fractional positions:
Er1 0.835 0.925 0.261
Er2 0.075 0.575 0.739
Er3 0.425 0.335 0.261
Er4 0.665 0.165 0.739
Er5 0.575 0.665 0.739
Er6 0.500 0.500 0.000
Er7 0.925 0.425 0.261
Er8 0.165 0.075 0.739
Er9 0.000 0.000 0.000
Er10 0.335 0.835 0.261
Sm1 0.883 0.617 0.000
Sm2 0.383 0.883 0.000
Sm3 0.117 0.383 0.000
Sm4 0.617 0.117 0.000
Pr1 0.750 0.250 0.500
Pr2 0.250 0.750 0.500
Ac1 0.750 0.750 0.500
Ac2 0.250 0.250 0.500

Computed properties:
Fermi-level density of states: 1.12 states/eV per atom
crystal system: tetragonal
energy: -4.321 eV per atom
ρ: 8.251 g/cm³
energy of formation: 250 meV per atom
magnetic moment: 0.00 μB per formula unit

# 2
The following is a DFT calculation (PBE) of a relaxed AcPr2Sm4Er crystal.

a b c (Å): 6.088 6.074 9.735
angles (deg): 51.40 90.00 90.00
Fractional positions:
Sm1 0.500 0.736 0.264
Sm2 0.000 0.765 0.736
Sm3 0.500 0.264 0.736
Sm4 0.000 0.235 0.264
Ac1 0.500 0.500 0.000
Pr1 0.000 0.000 0.000
Pr2 0.500 0.000 0.500
Er1 0.000 0.500 0.500

Computed properties:
Fermi-level density of states: 2.12 states/eV per atom
crystal system: orthorhombic
energy: -4.520 eV per atom
ρ: 7.539 g/cm³
energy of formation: 118 meV per atom
magnetic moment: 0.00 μB per formula unit

# 3
The following is a DFT calculation (PBE) of a relaxed AcPr2SmEr crystal.

a b c (Å): 7.450 8.396 7.428
angles (deg): 124.41 90.00 90.00
Fractional positions:
Ac1 0.750 0.242 0.484
Ac2 0.250 0.758 0.516
Sm1 0.750 0.944 0.887
Sm2 0.250 0.056 0.113
Pr1 0.500 0.697 0.000
Pr2 0.000 0.697 0.000
Pr3 0.000 0.303 0.000
Pr4 0.500 0.303 0.000
Er1 0.750 0.694 0.387
Er2 0.250 0.306 0.613

Computed properties:
Fermi-level density of states: 1.37 states/eV per atom
crystal system: orthorhombic
energy: -4.245 eV per atom
ρ: 7.160 g/cm³
energy of formation: 344 meV per atom
magnetic moment: 0.00 μB per formula unit

# 4
The following is a DFT calculation (PBE) of a relaxed Ac2Pr4SmEr crystal.

a b c (Å): 3.771 6.416 12.491
angles (deg): 79.55 90.00 90.00
Fractional positions:
Ac1 0.500 0.000 0.500
Ac2 0.000 0.000 0.000
Pr1 0.000 0.746 0.751
Pr2 0.500 0.745 0.254
Pr3 0.000 0.254 0.249
Pr4 0.500 0.255 0.746
Er1 0.000 0.500 0.500
Sm1 0.500 0.500 0.000

Computed properties:
Fermi-level density of states: 1.58 states/eV per atom
crystal system: monoclinic
energy: -4.544 eV per atom
ρ: 7.459 g/cm³
energy of formation: 33 meV per atom
magnetic moment: 0.00 μB per formula unit

# 5
The following is a DFT calculation (PBE) of a relaxed AcPr3SmEr crystal.

a b c (Å): 5.934 10.880 7.122
angles (deg): 91.47 90.00 105.82
Fractional positions:
Ac1 0.648 0.296 0.032
Ac2 0.352 0.704 0.968
Er1 0.642 0.284 0.489
Er2 0.358 0.716 0.511
Pr1 0.841 0.681 0.256
Pr2 0.484 0.969 0.257
Pr3 0.781 0.562 0.722
Pr4 0.516 0.031 0.743
Pr5 0.159 0.319 0.744
Pr6 0.219 0.438 0.278
Sm1 0.943 0.886 0.713
Sm2 0.057 0.114 0.287

Computed properties:
Fermi-level density of states: 1.45 states/eV per atom
crystal system: monoclinic
energy: -4.429 eV per atom
ρ: 7.264 g/cm³
energy of formation: 193 meV per atom
magnetic moment: 0.00 μB per formula unit

# 6
The following is a DFT calculation (PBE) of a relaxed AcPr2SmEr4 crystal.

a b c (Å): 9.659 9.659 12.009
angles (deg): 128.44 128.44 88.33
Fractional positions:
Pr1 0.500 0.000 0.000
Pr2 0.000 0.000 0.500
Pr3 0.500 0.000 0.500
Pr4 0.500 0.500 0.000
Er1 0.741 0.757 0.996
Er2 0.740 0.235 0.988
Er3 0.257 0.241 0.496
Er4 0.265 0.760 0.512
Er5 0.260 0.765 0.012
Er6 0.735 0.240 0.488
Er7 0.259 0.243 0.004
Er8 0.743 0.759 0.504
Sm1 0.500 0.500 0.500
Sm2 0.000 0.000 0.000
Ac1 0.000 0.500 0.500
Ac2 0.000 0.500 0.000

Computed properties:
Fermi-level density of states: 2.31 states/eV per atom
crystal system: monoclinic
energy: -4.159 eV per atom
ρ: 7.894 g/cm³
energy of formation: 421 meV per atom
magnetic moment: 0.10 μB per formula unit

# 7
The following is a DFT calculation (PBE) of a relaxed Ac2PrSm5Er crystal.

a b c (Å): 5.842 10.657 10.953
angles (deg): 90.00 90.00 105.91
Fractional positions:
Sm1 0.386 0.772 0.019
Sm2 0.981 0.962 0.522
Sm3 0.282 0.564 0.313
Sm4 0.517 0.034 0.241
Sm5 0.296 0.592 0.706
Sm6 0.704 0.408 0.206
Sm7 0.718 0.436 0.813
Sm8 0.614 0.228 0.519
Sm9 0.483 0.966 0.741
Sm10 0.019 0.038 0.022
Ac1 0.883 0.767 0.818
Ac2 0.117 0.233 0.318
Ac3 0.886 0.772 0.231
Ac4 0.114 0.228 0.731
Er1 0.795 0.589 0.511
Er2 0.205 0.411 0.011
Pr1 0.411 0.823 0.464
Pr2 0.589 0.177 0.964

Computed properties:
Fermi-level density of states: 1.38 states/eV per atom
crystal system: orthorhombic
energy: -4.428 eV per atom
ρ: 7.666 g/cm³
energy of formation: 144 meV per atom
magnetic moment: 0.00 μB per formula unit

# 8
The following is a DFT calculation (PBE) of a relaxed AcPr5Sm2Er crystal.

a b c (Å): 9.163 9.163 10.174
angles (deg): 116.76 116.76 90.00
Fractional positions:
Pr1 0.071 0.571 0.735
Pr2 0.929 0.429 0.265
Pr3 0.336 0.836 0.265
Pr4 0.000 0.000 0.000
Pr5 0.500 0.500 0.000
Pr6 0.664 0.164 0.735
Pr7 0.164 0.071 0.735
Pr8 0.571 0.664 0.735
Pr9 0.429 0.336 0.265
Pr10 0.836 0.929 0.265
Sm1 0.615 0.115 0.000
Sm2 0.115 0.385 0.000
Sm3 0.885 0.615 0.000
Sm4 0.385 0.885 0.000
Er1 0.250 0.750 0.500
Er2 0.750 0.250 0.500
Ac1 0.250 0.250 0.500
Ac2 0.750 0.750 0.500

Computed properties:
Fermi-level density of states: 1.53 states/eV per atom
crystal system: tetragonal
energy: -4.403 eV per atom
ρ: 7.058 g/cm³
energy of formation: 265 meV per atom
magnetic moment: 0.00 μB per formula unit

# 9
The following is a DFT calculation (PBE) of a relaxed AcPrErSn crystal.

a b c (Å): 5.620 5.620 5.620
angles (deg): 60.00 60.00 60.00
Fractional positions:
Pr1 0.500 0.500 0.500
Ac1 0.750 0.750 0.750
Sn1 0.250 0.250 0.250
Er1 0.000 0.000 0.000

Computed properties:
Fermi-level density of states: 1.60 states/eV per atom
crystal system: cubic
energy: -4.539 eV per atom
ρ: 8.651 g/cm³
energy of formation: -176 meV per atom
magnetic moment: 0.00 μB per formula unit

# 10
The following is a DFT calculation (PBE) of a relaxed SrAcPrEr crystal.

a b c (Å): 6.095 6.095 6.095
angles (deg): 60.00 60.00 60.00
Fractional positions:
Pr1 0.750 0.750 0.750
Sr1 0.500 0.500 0.500
Ac1 0.250 0.250 0.250
Er1 0.000 0.000 0.000

Computed properties:
Fermi-level density of states: 1.38 states/eV per atom
crystal system: cubic
energy: -3.603 eV per atom
ρ: 6.460 g/cm³
energy of formation: 180 meV per atom
magnetic moment: 0.00 μB per formula unit

# 11
The following is a DFT calculation (PBE) of a relaxed AcTb2PrEr crystal.

a b c (Å): 6.501 6.502 9.412
angles (deg): 110.21 90.00 90.00
Fractional positions:
Ac1 0.250 0.659 0.317
Ac2 0.750 0.341 0.683
Tb1 0.500 0.249 0.000
Tb2 0.500 0.751 0.000
Tb3 0.000 0.751 0.000
Tb4 0.000 0.249 0.000
Pr1 0.250 0.847 0.693
Pr2 0.750 0.153 0.307
Er1 0.250 0.251 0.503
Er2 0.750 0.749 0.497

Computed properties:
Fermi-level density of states: 1.73 states/eV per atom
crystal system: orthorhombic
energy: -4.157 eV per atom
ρ: 7.588 g/cm³
energy of formation: 386 meV per atom
magnetic moment: 0.00 μB per formula unit

# 12
The following is a DFT calculation (PBE) of a relaxed AcTbPr2Er5 crystal.

a b c (Å): 8.817 8.817 9.999
angles (deg): 116.16 116.16 90.00
Fractional positions:
Er1 0.926 0.426 0.269
Er2 0.426 0.342 0.269
Er3 0.158 0.074 0.731
Er4 0.574 0.658 0.731
Er5 0.658 0.158 0.731
Er6 0.500 0.500 0.000
Er7 0.074 0.574 0.731
Er8 0.842 0.926 0.269
Er9 0.000 0.000 0.000
Er10 0.342 0.842 0.269
Ac1 0.750 0.750 0.500
Ac2 0.250 0.250 0.500
Pr1 0.883 0.617 0.000
Pr2 0.117 0.383 0.000
Pr3 0.617 0.117 0.000
Pr4 0.383 0.883 0.000
Tb1 0.250 0.750 0.500
Tb2 0.750 0.250 0.500

Computed properties:
Fermi-level density of states: 1.04 states/eV per atom
crystal system: tetragonal
energy: -4.311 eV per atom
ρ: 8.219 g/cm³
energy of formation: 257 meV per atom
magnetic moment: 0.00 μB per formula unit